Record 1
LaMgTi2Ga after structural relaxation, computed with GGA-PBE.

Its space-group type is P4/mmm, No. 123. The value obtained for the magnetic moment is 0.0 Bohr magnetons per cell.

a b c (Å): 4.9512 4.9512 5.4830
angles (deg): 90.00 90.00 90.00
Fractional coordinates of all 5 atoms:
La  0.0000  0.0000  0.0000
Mg  0.0000  0.0000  0.5000
Ti  0.0000  0.5000  0.5000
Ti  0.5000  0.0000  0.5000
Ga  0.5000  0.5000  0.0000



Record 2
LaMgTlGa after structural relaxation, computed with GGA-PBE.

Its space-group type is F-43m, No. 216. The value obtained for the magnetic moment is 0.0 Bohr magnetons per cell.

a b c (Å): 5.2547 5.2547 5.2547
angles (deg): 60.00 60.00 60.00
Fractional coordinates of all 4 atoms:
La  0.0000  0.0000  0.0000
Mg  0.5000  0.5000  0.5000
Tl  0.2500  0.2500  0.2500
Ga  0.7500  0.7500  0.7500



Record 3
La2MgZn3Ga4 after structural relaxation, computed with GGA-PBE.

Its space-group type is P-4m2, No. 115. The value obtained for the magnetic moment is 0.0 Bohr magnetons per cell.

a b c (Å): 4.3628 4.3628 10.8582
angles (deg): 90.00 90.00 90.00
Fractional coordinates of all 10 atoms:
La  0.0000  0.5000  0.2407
La  0.5000  0.0000  0.7593
Mg  0.0000  0.0000  0.5000
Zn  0.0000  0.5000  0.8707
Zn  0.5000  0.0000  0.1293
Zn  0.5000  0.5000  0.5000
Ga  0.0000  0.0000  0.0000
Ga  0.0000  0.5000  0.6430
Ga  0.5000  0.0000  0.3570
Ga  0.5000  0.5000  0.0000



Record 4
LaMgZn2Ga2 after structural relaxation, computed with GGA-PBE.

Its space-group type is P-3m1, No. 164. The value obtained for the magnetic moment is 0.0 Bohr magnetons per cell.

a b c (Å): 4.4166 4.4166 7.2072
angles (deg): 90.00 90.00 120.00
Fractional coordinates of all 6 atoms:
La  0.0000  0.0000  0.0000
Mg  0.0000  0.0000  0.5000
Zn  0.3333  0.6667  0.2951
Zn  0.6667  0.3333  0.7049
Ga  0.3333  0.6667  0.7298
Ga  0.6667  0.3333  0.2702



Record 5
LaMn4Ga8 after structural relaxation, computed with GGA-PBE.

Its space-group type is I4/mmm, No. 139. The value obtained for the magnetic moment is 9.4 Bohr magnetons per cell.

a b c (Å): 6.8368 6.8368 6.8368
angles (deg): 98.36 98.36 135.17
Fractional coordinates of all 13 atoms:
La  0.0000  0.0000  0.0000
Mn  0.0000  0.0000  0.5000
Mn  0.0000  0.5000  0.0000
Mn  0.5000  0.0000  0.0000
Mn  0.5000  0.5000  0.5000
Ga  0.0000  0.3393  0.3393
Ga  0.0000  0.6607  0.6607
Ga  0.2682  0.5000  0.7682
Ga  0.3393  0.0000  0.3393
Ga  0.5000  0.2682  0.7682
Ga  0.5000  0.7318  0.2318
Ga  0.6607  0.0000  0.6607
Ga  0.7318  0.5000  0.2318



Record 6
La2MnGa after structural relaxation, computed with GGA-PBE.

Its space-group type is P4/mmm, No. 123. The value obtained for the magnetic moment is 3.2 Bohr magnetons per cell.

a b c (Å): 5.3152 5.3152 3.7295
angles (deg): 90.00 90.00 90.00
Fractional coordinates of all 4 atoms:
La  0.0000  0.5000  0.0000
La  0.5000  0.0000  0.0000
Mn  0.0000  0.0000  0.5000
Ga  0.5000  0.5000  0.5000



Which DFT formation energy belongs to each record? In order, 23.6, -7.8, -11.4, -9.8, -5.8, -2.5 kcal/mol of atoms.